Entry 1:
Density functional theory data (GGA-PBE) for a relaxed structure of NpU2Mn.

CIF file:
```
data_NpU2Mn
_chemical_formula_sum 'Np3 U6 Mn3'
_cell_length_a 4.3792
_cell_length_b 4.3792
_cell_length_c 12.4746
_cell_angle_alpha 90.00
_cell_angle_beta 90.00
_cell_angle_gamma 120.00
_symmetry_space_group_name_H-M 'R -3 m'
_symmetry_Int_Tables_number 166
_symmetry_space_group_name_Hall '-R 3 2"'
loop_
_atom_site_label
_atom_site_fract_x
_atom_site_fract_y
_atom_site_fract_z
_atom_site_occupancy
Np1 0.0000 0.0000 0.0000 1
U1 0.0000 0.0000 0.2600 1
Mn1 0.0000 0.0000 0.5000 1
```

Properties
- uncorrected energy (hartree per atom) = -0.408
- energy relative to the elements (eV per atom) = 0.07


Entry 2:
Density functional theory data (GGA-PBE) for a relaxed structure of Np2UMn.

CIF file:
```
data_Np2UMn
_chemical_formula_sum 'Np6 U3 Mn3'
_cell_length_a 3.5194
_cell_length_b 3.5194
_cell_length_c 23.0193
_cell_angle_alpha 90.00
_cell_angle_beta 90.00
_cell_angle_gamma 120.00
_symmetry_space_group_name_H-M 'R -3 m'
_symmetry_Int_Tables_number 166
_symmetry_space_group_name_Hall '-R 3 2"'
loop_
_atom_site_label
_atom_site_fract_x
_atom_site_fract_y
_atom_site_fract_z
_atom_site_occupancy
Np1 0.0000 0.0000 0.0986 1
U1 0.0000 0.0000 0.5000 1
Mn1 0.0000 0.0000 0.0000 1
```

Properties
- uncorrected energy (hartree per atom) = -0.394
- energy relative to the elements (eV per atom) = 0.87


Entry 3:
Density functional theory data (GGA-PBE) for a relaxed structure of NpUMnZn.

CIF file:
```
data_NpUMnZn
_chemical_formula_sum 'Np4 U4 Mn4 Zn4'
_cell_length_a 6.517
_cell_length_b 6.517
_cell_length_c 6.517
_cell_angle_alpha 90.00
_cell_angle_beta 90.00
_cell_angle_gamma 90.00
_symmetry_space_group_name_H-M 'F -4 3 m'
_symmetry_Int_Tables_number 216
_symmetry_space_group_name_Hall 'F -4 2 3'
loop_
_atom_site_label
_atom_site_fract_x
_atom_site_fract_y
_atom_site_fract_z
_atom_site_occupancy
Np1 0.000 0.000 0.000 1
U1 0.250 0.250 0.250 1
Mn1 0.000 0.000 0.500 1
Zn1 0.250 0.250 0.750 1
```

Properties
- uncorrected energy (hartree per atom) = -0.315
- energy relative to the elements (eV per atom) = 0.10


Entry 4:
Density functional theory data (GGA-PBE) for a relaxed structure of NpMn2V.

CIF file:
```
data_NpMn2V
_chemical_formula_sum 'Np1 Mn2 V1'
_cell_length_a 4.437
_cell_length_b 4.437
_cell_length_c 2.957
_cell_angle_alpha 90.00
_cell_angle_beta 90.00
_cell_angle_gamma 90.00
_symmetry_space_group_name_H-M 'P 4/m m m'
_symmetry_Int_Tables_number 123
_symmetry_space_group_name_Hall '-P 4 2'
loop_
_atom_site_label
_atom_site_fract_x
_atom_site_fract_y
_atom_site_fract_z
_atom_site_occupancy
Np1 0.000 0.000 0.000 1
Mn1 0.000 0.500 0.500 1
V1 0.500 0.500 0.000 1
```

Properties
- uncorrected energy (hartree per atom) = -0.365
- distance to the lowest polymorph of the same formula (kJ/mol of atoms) = 10.9
- energy relative to the elements (eV per atom) = 0.16


Entry 5:
Density functional theory data (GGA-PBE) for a relaxed structure of NpMn2V.

CIF file:
```
data_NpMn2V
_chemical_formula_sum 'Np4 Mn8 V4'
_cell_length_a 6.090
_cell_length_b 6.090
_cell_length_c 6.090
_cell_angle_alpha 90.00
_cell_angle_beta 90.00
_cell_angle_gamma 90.00
_symmetry_space_group_name_H-M 'F m -3 m'
_symmetry_Int_Tables_number 225
_symmetry_space_group_name_Hall '-F 4 2 3'
loop_
_atom_site_label
_atom_site_fract_x
_atom_site_fract_y
_atom_site_fract_z
_atom_site_occupancy
Np1 0.000 0.000 0.000 1
Mn1 0.250 0.250 0.250 1
V1 0.000 0.000 0.500 1
```

Properties
- uncorrected energy (hartree per atom) = -0.363
- distance to the lowest polymorph of the same formula (kJ/mol of atoms) = 17.4
- energy relative to the elements (eV per atom) = 0.23


Entry 6:
Density functional theory data (GGA-PBE) for a relaxed structure of NpMnV.

CIF file:
```
data_NpMnV
_chemical_formula_sum 'Np2 Mn2 V2'
_cell_length_a 2.804
_cell_length_b 2.804
_cell_length_c 11.034
_cell_angle_alpha 90.00
_cell_angle_beta 90.00
_cell_angle_gamma 90.00
_symmetry_space_group_name_H-M 'I 4 m m'
_symmetry_Int_Tables_number 107
_symmetry_space_group_name_Hall 'I 4 -2'
loop_
_atom_site_label
_atom_site_fract_x
_atom_site_fract_y
_atom_site_fract_z
_atom_site_occupancy
Np1 0.000 0.000 0.000 1
Mn1 0.000 0.000 0.323 1
V1 0.000 0.000 0.698 1
```

Properties
- uncorrected energy (hartree per atom) = -0.375
- distance to the lowest polymorph of the same formula (kJ/mol of atoms) = 0.0
- energy relative to the elements (eV per atom) = 0.19


Entry 7:
Density functional theory data (GGA-PBE) for a relaxed structure of NpMnV.

CIF file:
```
data_NpMnV
_chemical_formula_sum 'Np4 Mn4 V4'
_cell_length_a 9.027
_cell_length_b 2.794
_cell_length_c 7.280
_cell_angle_alpha 90.00
_cell_angle_beta 94.23
_cell_angle_gamma 90.00
_symmetry_space_group_name_H-M 'C 1 2/m 1'
_symmetry_Int_Tables_number 12
_symmetry_space_group_name_Hall '-C 2y'
loop_
_atom_site_label
_atom_site_fract_x
_atom_site_fract_y
_atom_site_fract_z
_atom_site_occupancy
Np1 0.108 0.000 0.219 1
Mn1 0.161 0.500 0.889 1
V1 0.132 0.000 0.577 1
```

Properties
- uncorrected energy (hartree per atom) = -0.370
- distance to the lowest polymorph of the same formula (kJ/mol of atoms) = 13.8
- energy relative to the elements (eV per atom) = 0.34


Entry 8:
Density functional theory data (GGA-PBE) for a relaxed structure of NpMn2V.

CIF file:
```
data_NpMn2V
_chemical_formula_sum 'Np3 Mn6 V3'
_cell_length_a 2.7463
_cell_length_b 2.7463
_cell_length_c 25.8566
_cell_angle_alpha 90.00
_cell_angle_beta 90.00
_cell_angle_gamma 120.00
_symmetry_space_group_name_H-M 'R -3 m'
_symmetry_Int_Tables_number 166
_symmetry_space_group_name_Hall '-R 3 2"'
loop_
_atom_site_label
_atom_site_fract_x
_atom_site_fract_y
_atom_site_fract_z
_atom_site_occupancy
Np1 0.0000 0.0000 0.0000 1
Mn1 0.0000 0.0000 0.2391 1
V1 0.0000 0.0000 0.5000 1
```

Properties
- uncorrected energy (hartree per atom) = -0.360
- distance to the lowest polymorph of the same formula (kJ/mol of atoms) = 25.1
- energy relative to the elements (eV per atom) = 0.31


- The lowest uncorrected energy belongs to which entry?
  NpU2Mn